Entry 1:
This record from Alexandria describes crystalline Rb2PbBr2Cl2 at its relaxed geometry. The functional is PBE.

Cell lengths 5.674, 5.674, 17.671 Å; angles 90.00, 90.00, 90.00 degrees
Space group I4/mmm (No. 139)
Unique sites:
Rb 0.000 0.000 0.137 (multiplicity 4)
Pb 0.000 0.000 0.500 (multiplicity 2)
Br 0.000 0.000 0.329 (multiplicity 4)
Cl 0.000 0.500 0.000 (multiplicity 4)

Computed properties:
- energy relative to the elements, uncorrected (eV per atom) = -1.498
- total magnetization (μB per formula unit) = 0.000


Entry 2:
This record from Alexandria describes crystalline Rb3Pb2Br5Cl2 at its relaxed geometry. The functional is PBE.

Cell lengths 5.990, 5.990, 28.387 Å; angles 90.00, 90.00, 90.00 degrees
Space group I4/mmm (No. 139)
Unique sites:
Rb 0.000 0.000 0.000 (multiplicity 2)
Rb 0.000 0.000 0.182 (multiplicity 4)
Pb 0.000 0.000 0.392 (multiplicity 4)
Br 0.000 0.000 0.500 (multiplicity 2)
Br 0.000 0.500 0.104 (multiplicity 8)
Cl 0.000 0.000 0.294 (multiplicity 4)

Computed properties:
- energy relative to the elements, uncorrected (eV per atom) = -1.374
- total magnetization (μB per formula unit) = 0.000


Entry 3:
This record from Alexandria describes crystalline RePbBrCl2 at its relaxed geometry. The functional is PBE.

Cell lengths 5.601, 5.601, 5.977 Å; angles 90.00, 90.00, 90.00 degrees
Space group P4/mmm (No. 123)
Unique sites:
Re 0.000 0.000 0.000 (multiplicity 1)
Pb 0.500 0.500 0.500 (multiplicity 1)
Br 0.500 0.500 0.000 (multiplicity 1)
Cl 0.000 0.500 0.500 (multiplicity 2)

Computed properties:
- energy relative to the elements, uncorrected (eV per atom) = 0.595
- total magnetization (μB per formula unit) = 5.999


Entry 4:
This record from Alexandria describes crystalline RhPb3Br2Cl6 at its relaxed geometry. The functional is PBE.

Cell lengths 14.318, 8.154, 6.382 Å; angles 90.00, 93.16, 90.00 degrees
Space group C2/m (No. 12)
Unique sites:
Rh 0.000 0.000 0.000 (multiplicity 2)
Pb 0.000 0.500 0.500 (multiplicity 2)
Pb 0.250 0.250 0.000 (multiplicity 4)
Br 0.191 0.500 0.319 (multiplicity 4)
Cl 0.067 0.231 0.778 (multiplicity 8)
Cl 0.140 0.000 0.215 (multiplicity 4)

Computed properties:
- energy relative to the elements, uncorrected (eV per atom) = -0.827
- total magnetization (μB per formula unit) = 1.012


Entry 5:
This record from Alexandria describes crystalline RuPbBrCl6 at its relaxed geometry. The functional is PBE.

Cell lengths 6.7745, 6.7745, 7.5234 Å; angles 90.00, 90.00, 120.00 degrees
Space group P312 (No. 149)
Unique sites:
Ru 0.0000 0.0000 0.0000 (multiplicity 1)
Pb 0.6667 0.3333 0.0000 (multiplicity 1)
Br 0.3333 0.6667 0.5000 (multiplicity 1)
Cl 0.2837 0.0017 0.1809 (multiplicity 6)

Computed properties:
- energy relative to the elements, uncorrected (eV per atom) = -0.525
- total magnetization (μB per formula unit) = 1.086


Entry 6:
This record from Alexandria describes crystalline PbSBrCl2 at its relaxed geometry. The functional is PBE.

Cell lengths 5.260, 5.260, 5.888 Å; angles 90.00, 90.00, 90.00 degrees
Space group P4/mmm (No. 123)
Unique sites:
Pb 0.000 0.000 0.000 (multiplicity 1)
S 0.500 0.500 0.000 (multiplicity 1)
Br 0.500 0.500 0.500 (multiplicity 1)
Cl 0.000 0.500 0.500 (multiplicity 2)

Computed properties:
- energy relative to the elements, uncorrected (eV per atom) = 0.239
- excess energy over the best structure of this formula in the dataset (eV/f.u.) = 0.97
- total magnetization (μB per formula unit) = 0.001


Entry 7:
This record from Alexandria describes crystalline PbSBrCl2 at its relaxed geometry. The functional is PBE.

Cell lengths 5.382, 5.382, 5.743 Å; angles 90.00, 90.00, 90.00 degrees
Space group P4/mmm (No. 123)
Unique sites:
Pb 0.000 0.000 0.000 (multiplicity 1)
S 0.000 0.000 0.500 (multiplicity 1)
Br 0.500 0.500 0.500 (multiplicity 1)
Cl 0.000 0.500 0.000 (multiplicity 2)

Computed properties:
- energy relative to the elements, uncorrected (eV per atom) = 0.044
- excess energy over the best structure of this formula in the dataset (eV/f.u.) = 0.00
- total magnetization (μB per formula unit) = 2.326


Entry 8:
This record from Alexandria describes crystalline SnPbBrCl6 at its relaxed geometry. The functional is PBE.

Cell lengths 7.133, 12.350, 7.996 Å; angles 90.00, 90.06, 90.00 degrees
Space group C2 (No. 5)
Unique sites:
Sn 0.000 0.000 0.000 (multiplicity 2)
Pb 0.000 0.667 0.000 (multiplicity 2)
Br 0.000 0.333 0.500 (multiplicity 2)
Cl 0.137 0.857 0.818 (multiplicity 4)
Cl 0.146 0.140 0.818 (multiplicity 4)
Cl 0.217 0.503 0.818 (multiplicity 4)

Computed properties:
- energy relative to the elements, uncorrected (eV per atom) = -0.756
- total magnetization (μB per formula unit) = 1.004


Entry 9:
This record from Alexandria describes crystalline SnPb3Br2Cl6 at its relaxed geometry. The functional is PBE.

Cell lengths 14.951, 8.575, 6.467 Å; angles 90.00, 92.89, 90.00 degrees
Space group C2/m (No. 12)
Unique sites:
Sn 0.000 0.000 0.000 (multiplicity 2)
Pb 0.000 0.500 0.500 (multiplicity 2)
Pb 0.250 0.250 0.000 (multiplicity 4)
Br 0.176 0.500 0.280 (multiplicity 4)
Cl 0.077 0.247 0.760 (multiplicity 8)
Cl 0.168 0.000 0.231 (multiplicity 4)

Computed properties:
- energy relative to the elements, uncorrected (eV per atom) = -1.037
- total magnetization (μB per formula unit) = 0.000


Entry 10:
This record from Alexandria describes crystalline Sr3PbBr6Cl2 at its relaxed geometry. The functional is PBE.

Cell lengths 15.319, 8.950, 6.568 Å; angles 90.00, 94.37, 90.00 degrees
Space group C2/m (No. 12)
Unique sites:
Sr 0.000 0.000 0.000 (multiplicity 2)
Sr 0.250 0.250 0.500 (multiplicity 4)
Pb 0.000 0.500 0.500 (multiplicity 2)
Br 0.090 0.249 0.757 (multiplicity 8)
Br 0.159 0.500 0.252 (multiplicity 4)
Cl 0.164 0.000 0.270 (multiplicity 4)

Computed properties:
- energy relative to the elements, uncorrected (eV per atom) = -1.887
- total magnetization (μB per formula unit) = 0.000


total magnetization of number 1 (Rb2PbBr2Cl2)?
0.000 μB per formula unit


Which formula does entry 6 have?
PbSBrCl2


Number 1 is which compound?
Rb2PbBr2Cl2


What is the total magnetization in the fourth record?
1.012 μB per formula unit